4
Lattice="1.5233 0.8795 7.9176 -1.5233 0.8795 7.9176 0.0000 -1.7590 7.9176" Properties=species:S:1:pos:R:3 comment="GGA-PBE TaCo2Hg, optimized geometry" final_energy_ev_per_cell=-25.4 volume_a3_per_cell=63.6 pbc="T T T"
Ta 0.0000 0.0000 0.0000
Co 0.0000 0.0000 6.1508
Co 0.0000 0.0000 17.6020
Hg 0.0000 0.0000 11.8764

=====

6
Lattice="3.7062 0.0000 0.0000 1.8349 5.7337 0.0000 0.0191 0.2468 6.4028" Properties=species:S:1:pos:R:3 comment="GGA-PBE PmTmB, optimized geometry" final_energy_ev_per_cell=-31.5 volume_a3_per_cell=136.1 pbc="T T T"
Pm 0.0000 0.0000 0.0000
Pm 2.0182 2.7252 1.5170
Tm 1.8396 2.7661 4.6672
Tm 3.7233 5.3961 3.3361
B 3.7132 4.0771 6.0364
B 3.7200 1.4683 3.2240

=====

4
Lattice="3.8665 0.0000 0.0000 0.0000 3.8645 0.0000 -0.1327 0.0000 8.5625" Properties=species:S:1:pos:R:3 comment="GGA-PBE Ba2FeCl, optimized geometry" volume_a3_per_cell=127.9 formation_energy_uncorrected_mev_per_atom=-400 pbc="T T T"
Ba -0.0113 0.0000 1.9958
Ba 3.7451 0.0000 6.5667
Fe 1.9332 1.9322 0.0000
Cl 1.8669 1.9322 4.2813

=====

5
Lattice="4.6710 0.0000 0.0000 0.0000 4.6710 0.0000 0.0000 0.0000 3.4866" Properties=species:S:1:pos:R:3 comment="GGA-PBE Hf2CdFeH, optimized geometry" final_energy_ev_per_cell=-33.0 volume_a3_per_cell=76.1 pbc="T T T"
Hf 0.0000 2.3355 0.0000
Hf 2.3355 0.0000 0.0000
Cd 0.0000 0.0000 1.7433
Fe 2.3355 2.3355 1.7433
H 2.3355 2.3355 0.0000

=====

5
Lattice="5.9342 0.0000 0.0000 0.0000 5.9342 0.0000 0.0000 0.0000 5.9342" Properties=species:S:1:pos:R:3 comment="GGA-PBE Ce4Tl, optimized geometry" final_energy_ev_per_cell=-22.7 volume_a3_per_cell=209.0 pbc="T T T"
Ce 0.0000 0.0000 0.0000
Ce 0.0000 2.9671 2.9671
Ce 2.9671 0.0000 2.9671
Ce 2.9671 2.9671 0.0000
Tl 2.9671 2.9671 2.9671

=====

11
Lattice="4.3387 -5.4645 0.0000 4.3387 5.4645 0.0000 0.0000 0.0000 6.9486" Properties=species:S:1:pos:R:3 comment="GGA-PBE Dy7Ge2Pb2, optimized geometry" final_energy_ev_per_cell=-52.6 volume_a3_per_cell=329.5 pbc="T T T"
Dy 0.0000 0.0000 0.0000
Dy 2.1693 2.7322 1.8179
Dy 2.1693 2.7322 5.1307
Dy 2.1693 -2.7322 1.8179
Dy 2.1693 -2.7322 5.1307
Dy 4.3387 0.0000 1.7028
Dy 4.3387 0.0000 5.2458
Ge 4.3387 2.4747 0.0000
Ge 4.3387 -2.4747 0.0000
Pb 1.6053 0.0000 3.4743
Pb 7.0721 0.0000 3.4743

=====

12
Lattice="0.0000 5.0697 8.7865 3.5076 0.0000 8.7865 3.5076 5.0697 0.0000" Properties=species:S:1:pos:R:3 comment="GGA-PBE Pr2MgHg3, optimized geometry" final_energy_ev_per_cell=-29.0 volume_a3_per_cell=312.5 pbc="T T T"
Pr 5.3269 5.0697 8.7865
Pr 1.7538 2.5349 4.3932
Pr 5.2613 7.6046 13.1797
Pr 1.6882 5.0697 8.7865
Mg 3.5076 5.0697 5.8537
Mg 3.5076 5.0697 11.7193
Hg 3.5076 5.0697 2.9929
Hg 3.5076 2.6150 7.2906
Hg 3.5076 2.6150 10.2824
Hg 3.5076 7.5244 7.2906
Hg 3.5076 7.5244 10.2824
Hg 3.5076 5.0697 14.5801

=====

5
Lattice="1.9377 1.1187 15.6549 -1.9377 1.1187 15.6549 0.0000 -2.2375 15.6549" Properties=species:S:1:pos:R:3 comment="GGA-PBE Ac3Pm2, optimized geometry" final_energy_ev_per_cell=-21.6 volume_a3_per_cell=203.6 pbc="T T T"
Ac 0.0000 0.0000 0.0000
Ac 0.0000 0.0000 18.9565
Ac 0.0000 0.0000 28.0082
Pm 0.0000 0.0000 9.2702
Pm 0.0000 0.0000 37.6945

=====

4
Lattice="4.3000 -2.4692 0.0000 4.3000 2.4692 0.0000 -2.8209 0.0000 5.6118" Properties=species:S:1:pos:R:3 comment="GGA-PBE BaZnHg2, optimized geometry" final_energy_ev_per_cell=-4.9 volume_a3_per_cell=119.2 pbc="T T T"
Ba 0.0000 0.0000 0.0000
Zn 0.0380 0.0000 3.4614
Hg 2.9013 0.0000 3.5159
Hg 5.7472 0.0000 2.0244

=====

7
Lattice="2.4933 1.4395 9.9734 -2.4933 1.4395 9.9734 0.0000 -2.8790 9.9734" Properties=species:S:1:pos:R:3 comment="GGA-PBE Pm4ErGe2, optimized geometry" final_energy_ev_per_cell=-35.2 volume_a3_per_cell=214.8 pbc="T T T"
Pm 0.0000 0.0000 3.1961
Pm 0.0000 0.0000 8.9014
Pm 0.0000 0.0000 21.0187
Pm 0.0000 0.0000 26.7239
Er 0.0000 0.0000 14.9600
Ge 0.0000 0.0000 11.9974
Ge 0.0000 0.0000 17.9227

=====

5
Lattice="4.9875 0.0000 0.0000 0.0000 4.9875 0.0000 0.0000 0.0000 4.9875" Properties=species:S:1:pos:R:3 comment="GGA-PBE BaV3Pd, optimized geometry" final_energy_ev_per_cell=-29.6 volume_a3_per_cell=124.1 pbc="T T T"
Ba 0.0000 0.0000 0.0000
V 0.0000 2.4938 2.4938
V 2.4938 0.0000 2.4938
V 2.4938 2.4938 0.0000
Pd 2.4938 2.4938 2.4938

=====

10
Lattice="5.7272 -2.2665 0.0000 5.7272 2.2665 0.0000 -4.6521 0.0000 10.1211" Properties=species:S:1:pos:R:3 comment="GGA-PBE Y2SnHg2, optimized geometry" final_energy_ev_per_cell=-39.9 volume_a3_per_cell=262.8 pbc="T T T"
Y -0.8162 0.0000 1.7843
Y 7.6184 0.0000 8.3368
Y -0.7268 0.0000 6.0460
Y 7.5290 0.0000 4.0751
Sn 2.4208 0.0000 1.9165
Sn 4.3815 0.0000 8.2046
Hg -0.3172 0.0000 9.6689
Hg 2.3147 0.0000 6.1383
Hg 4.4875 0.0000 3.9828
Hg 7.1194 0.0000 0.4522

=====

7
Lattice="1.8140 -17.8123 0.0000 1.8140 17.8123 0.0000 0.0000 0.0000 3.6232" Properties=species:S:1:pos:R:3 comment="GGA-PBE Pm4Pr2Cd, optimized geometry" final_energy_ev_per_cell=-29.7 volume_a3_per_cell=234.1 pbc="T T T"
Pm 1.8140 15.6877 0.0000
Pm 1.8140 4.7208 1.8116
Pm 1.8140 -4.7208 1.8116
Pm 1.8140 -15.6877 0.0000
Pr 1.8140 10.4920 0.0000
Pr 1.8140 -10.4920 0.0000
Cd 1.8140 0.0000 1.8116

=====

5
Lattice="4.1980 0.0000 0.0000 0.0000 4.1980 0.0000 0.0000 0.0000 4.1980" Properties=species:S:1:pos:R:3 comment="GGA-PBE InTcB3, optimized geometry" final_energy_ev_per_cell=-28.1 volume_a3_per_cell=74.0 pbc="T T T"
In 0.0000 0.0000 0.0000
Tc 2.0990 2.0990 2.0990
B 0.0000 2.0990 2.0990
B 2.0990 0.0000 2.0990
B 2.0990 2.0990 0.0000